[1]
This record from the Alexandria database describes crystalline CsCdSe at its relaxed geometry. The functional is PBE-GGA.

Cell lengths 14.6524, 4.3489, 10.3391 Å; angles 90.00, 134.69, 90.00 degrees
Space group C2/m (No. 12)
Unique sites:
Cs1 0.2006 0.0000 0.1999 [4 per cell]
Cd1 0.0004 0.0000 0.3664 [4 per cell]
Se1 0.0003 0.5000 0.2137 [4 per cell]

Properties
As for the volume: 39.0 Å³/atom. Its energy above the lowest structure with this stoichiometry is 16 meV per atom. As for the formation energy (no corrections): -778 meV/atom.


[2]
This record from the Alexandria database describes crystalline Cs3Cd2Se4 at its relaxed geometry. The functional is PBE-GGA.

Cell lengths 18.9404, 4.6760, 8.4363 Å; angles 90.00, 115.19, 90.00 degrees
Space group C2/m (No. 12)
Unique sites:
Cs1 0.0000 0.0000 0.0000 [2 per cell]
Cs2 0.1332 0.0000 0.5411 [4 per cell]
Cd1 0.1703 0.5000 0.9512 [4 per cell]
Se1 0.0251 0.5000 0.6995 [4 per cell]
Se2 0.2102 0.0000 0.1523 [4 per cell]

Properties
As for the volume: 37.6 Å³/atom. As for the formation energy (no corrections): -865 meV/atom.


[3]
This record from the Alexandria database describes crystalline Cs3Sm2CdSe6 at its relaxed geometry. The functional is PBE-GGA.

Cell lengths 7.4863, 12.9554, 8.7658 Å; angles 90.00, 106.47, 90.00 degrees
Space group C2/m (No. 12)
Unique sites:
Cs1 0.0000 0.0000 0.0000 [2 per cell]
Cs2 0.0000 0.3342 0.0000 [4 per cell]
Sm1 0.0000 0.1668 0.5000 [4 per cell]
Cd1 0.0000 0.5000 0.5000 [2 per cell]
Se1 0.2288 0.3339 0.6879 [8 per cell]
Se2 0.2300 0.0000 0.6881 [4 per cell]

Properties
As for the volume: 34.0 Å³/atom. As for the formation energy (no corrections): -1307 meV/atom.


[4]
This record from the Alexandria database describes crystalline Cs2SmCd2Se4 at its relaxed geometry. The functional is PBE-GGA.

Cell lengths 17.1191, 4.3054, 8.8425 Å; angles 90.00, 112.29, 90.00 degrees
Space group C2/m (No. 12)
Unique sites:
Cs1 0.1277 0.0000 0.0613 [4 per cell]
Sm1 0.0000 0.0000 0.5000 [2 per cell]
Cd1 0.1859 0.5000 0.5112 [4 per cell]
Se1 0.0252 0.5000 0.2888 [4 per cell]
Se2 0.1842 0.0000 0.7048 [4 per cell]

Properties
As for the volume: 33.5 Å³/atom. As for the formation energy (no corrections): -1111 meV/atom.


[5]
This record from the Alexandria database describes crystalline CsSrCdSe2 at its relaxed geometry. The functional is PBE-GGA.

Cell lengths 8.4191, 5.8016, 8.6587 Å; angles 90.00, 101.33, 90.00 degrees
Space group P2/c (No. 13)
Unique sites:
Cs1 0.0000 0.1768 0.2500 [2 per cell]
Sr1 0.5000 0.4920 0.7500 [2 per cell]
Cd1 0.5000 0.0000 0.0000 [2 per cell]
Se1 0.2688 0.3256 0.9585 [4 per cell]

Properties
As for the volume: 41.5 Å³/atom. As for the formation energy (no corrections): -999 meV/atom.


[6]
This record from the Alexandria database describes crystalline CsTaCd2Se at its relaxed geometry. The functional is PBE-GGA.

Cell lengths 6.1780, 6.1780, 5.7139 Å; angles 90.00, 90.00, 90.00 degrees
Space group P4/mmm (No. 123)
Unique sites:
Cs1 0.0000 0.0000 0.0000 [1 per cell]
Ta1 0.0000 0.0000 0.5000 [1 per cell]
Cd1 0.0000 0.5000 0.0000 [2 per cell]
Se1 0.5000 0.5000 0.5000 [1 per cell]

Properties
As for the volume: 43.6 Å³/atom. As for the formation energy (no corrections): 2180 meV/atom.


[7]
This record from the Alexandria database describes crystalline CsTbCdSe3 at its relaxed geometry. The functional is PBE-GGA.

Cell lengths 4.3097, 11.2268, 8.4617 Å; angles 90.00, 104.75, 90.00 degrees
Space group P2_1/m (No. 11)
Unique sites:
Cs1 0.2455 0.2500 0.4890 [2 per cell]
Tb1 0.5000 0.0000 0.0000 [2 per cell]
Cd1 0.0395 0.7500 0.0788 [2 per cell]
Se1 0.1174 0.5459 0.2349 [4 per cell]
Se2 0.4394 0.7500 0.8788 [2 per cell]

Properties
As for the volume: 33.0 Å³/atom. As for the formation energy (no corrections): -1374 meV/atom.


[8]
This record from the Alexandria database describes crystalline CsTbCdSe3 at its relaxed geometry. The functional is PBE-GGA.

Cell lengths 9.5879, 4.3204, 10.6337 Å; angles 90.00, 110.89, 90.00 degrees
Space group P2_1/m (No. 11)
Unique sites:
Cs1 0.2215 0.2500 0.2433 [2 per cell]
Tb1 0.3311 0.7500 0.8675 [2 per cell]
Cd1 0.0840 0.2500 0.6136 [2 per cell]
Se1 0.1232 0.2500 0.8701 [2 per cell]
Se2 0.2174 0.7500 0.5520 [2 per cell]
Se3 0.4754 0.7500 0.1495 [2 per cell]

Properties
As for the volume: 34.3 Å³/atom. As for the formation energy (no corrections): -1359 meV/atom.


[9]
This record from the Alexandria database describes crystalline Cs2Cd2Te2Se at its relaxed geometry. The functional is PBE-GGA.

Cell lengths 15.3836, 4.7388, 9.2856 Å; angles 90.00, 122.31, 90.00 degrees
Space group C2/m (No. 12)
Unique sites:
Cs1 0.0598 0.0000 0.3220 [4 per cell]
Cd1 0.1908 0.5000 0.0707 [4 per cell]
Te1 0.1900 0.5000 0.7497 [4 per cell]
Se1 0.0000 0.5000 0.0000 [2 per cell]

Properties
As for the volume: 40.9 Å³/atom. As for the formation energy (no corrections): -823 meV/atom.


[10]
This record from the Alexandria database describes crystalline Cs2CdTeSe at its relaxed geometry. The functional is PBE-GGA.

Cell lengths 8.9612, 4.7651, 11.7663 Å; angles 90.00, 108.64, 90.00 degrees
Space group P2_1/m (No. 11)
Unique sites:
Cs1 0.1731 0.2500 0.3948 [2 per cell]
Cs2 0.2123 0.2500 0.9588 [2 per cell]
Cd1 0.5000 0.2500 0.7401 [2 per cell]
Te1 0.3124 0.7500 0.6980 [2 per cell]
Se1 0.2008 0.7500 0.1813 [2 per cell]

Properties
As for the volume: 47.6 Å³/atom. As for the formation energy (no corrections): -912 meV/atom.


[11]
This record from the Alexandria database describes crystalline Cs2CdTeSe4 at its relaxed geometry. The functional is PBE-GGA.

Cell lengths 6.7481, 15.2815, 25.5006 Å; angles 90.00, 90.00, 90.00 degrees
Space group Fddd (No. 70, origin choice 2)
Unique sites:
Cs1 0.1250 0.1250 0.3046 [16 per cell]
Cd1 0.1250 0.1250 0.1250 [8 per cell]
Te1 0.1250 0.1250 0.6250 [8 per cell]
Se1 0.1246 0.2703 0.4295 [32 per cell]

Properties
As for the volume: 41.1 Å³/atom. As for the formation energy (no corrections): -605 meV/atom.


[12]
This record from the Alexandria database describes crystalline Cs2ThCdSe4 at its relaxed geometry. The functional is PBE-GGA.

Cell lengths 12.5962, 13.4493, 9.0039 Å; angles 90.00, 132.67, 90.00 degrees
Space group C2/c (No. 15)
Unique sites:
Cs1 0.0000 0.0000 0.0000 [4 per cell]
Cs2 0.2500 0.2500 0.0000 [4 per cell]
Th1 0.0000 0.5000 0.0000 [4 per cell]
Cd1 0.2500 0.2500 0.5000 [4 per cell]
Se1 0.0219 0.2776 0.4758 [8 per cell]
Se2 0.2024 0.4956 0.4446 [8 per cell]

Properties
As for the volume: 35.0 Å³/atom. As for the formation energy (no corrections): -1209 meV/atom.


[13]
This record from the Alexandria database describes crystalline CsTlCdSe2 at its relaxed geometry. The functional is PBE-GGA.

Cell lengths 18.5622, 4.5324, 10.1086 Å; angles 90.00, 118.51, 90.00 degrees
Space group C2/m (No. 12)
Unique sites:
Cs1 0.2347 0.0000 0.2460 [4 per cell]
Tl1 0.0606 0.5000 0.8838 [4 per cell]
Cd1 0.0660 0.0000 0.4343 [4 per cell]
Se1 0.1041 0.0000 0.7307 [4 per cell]
Se2 0.1170 0.5000 0.3559 [4 per cell]

Properties
As for the volume: 37.4 Å³/atom. As for the formation energy (no corrections): -751 meV/atom.


[14]
This record from the Alexandria database describes crystalline Cs2TmCd2Se4 at its relaxed geometry. The functional is PBE-GGA.

Cell lengths 17.0207, 4.2133, 8.8357 Å; angles 90.00, 112.67, 90.00 degrees
Space group C2/m (No. 12)
Unique sites:
Cs1 0.1275 0.0000 0.0635 [4 per cell]
Tm1 0.0000 0.0000 0.5000 [2 per cell]
Cd1 0.1858 0.5000 0.5146 [4 per cell]
Se1 0.0231 0.5000 0.2946 [4 per cell]
Se2 0.1791 0.0000 0.7071 [4 per cell]

Properties
As for the volume: 32.5 Å³/atom. As for the formation energy (no corrections): -1100 meV/atom.


[15]
This record from the Alexandria database describes crystalline Cs3U2CdSe6 at its relaxed geometry. The functional is PBE-GGA.

Cell lengths 7.4263, 12.8726, 8.7390 Å; angles 90.00, 106.34, 90.00 degrees
Space group C2/m (No. 12)
Unique sites:
Cs1 0.0000 0.0000 0.0000 [2 per cell]
Cs2 0.0000 0.3371 0.0000 [4 per cell]
U1 0.0000 0.1672 0.5000 [4 per cell]
Cd1 0.0000 0.5000 0.5000 [2 per cell]
Se1 0.2229 0.0000 0.6839 [4 per cell]
Se2 0.2324 0.3298 0.6869 [8 per cell]

Properties
As for the volume: 33.4 Å³/atom. As for the formation energy (no corrections): -1103 meV/atom.


[16]
This record from the Alexandria database describes crystalline CsUCdSe4 at its relaxed geometry. The functional is PBE-GGA.

Cell lengths 7.0110, 7.3085, 9.2452 Å; angles 90.00, 95.06, 90.00 degrees
Space group P2_1/m (No. 11)
Unique sites:
Cs1 0.2145 0.2500 0.0522 [2 per cell]
U1 0.1711 0.7500 0.4533 [2 per cell]
Cd1 0.3508 0.2500 0.6450 [2 per cell]
Se1 0.0830 0.5101 0.6864 [4 per cell]
Se2 0.3271 0.7500 0.1883 [2 per cell]
Se3 0.4859 0.2500 0.3908 [2 per cell]

Properties
As for the volume: 33.7 Å³/atom. As for the formation energy (no corrections): -938 meV/atom.


[17]
This record from the Alexandria database describes crystalline Cs2UCd2Se6 at its relaxed geometry. The functional is PBE-GGA.

Cell lengths 8.0614, 8.0614, 22.0426 Å; angles 90.00, 90.00, 120.00 degrees
Space group R-3m (No. 166, hexagonal axes)
Unique sites:
Cs1 0.0000 0.0000 0.2201 [6 per cell]
U1 0.0000 0.0000 0.0000 [3 per cell]
Cd1 0.0000 0.0000 0.3994 [6 per cell]
Se1 0.0326 0.5163 0.7442 [18 per cell]

Properties
As for the volume: 37.6 Å³/atom. As for the formation energy (no corrections): -834 meV/atom.


[18]
This record from the Alexandria database describes crystalline Cs2U3CdSe8 at its relaxed geometry. The functional is PBE-GGA.

Cell lengths 8.3050, 8.3050, 26.9712 Å; angles 90.00, 90.00, 120.00 degrees
Space group R3m (No. 160, hexagonal axes)
Unique sites:
Cs1 0.0000 0.0000 0.0000 [3 per cell]
Cs2 0.0000 0.0000 0.3483 [3 per cell]
U1 0.0034 0.5017 0.4986 [9 per cell]
Cd1 0.0000 0.0000 0.5074 [3 per cell]
Se1 0.0000 0.0000 0.2207 [3 per cell]
Se2 0.0000 0.0000 0.7736 [3 per cell]
Se3 0.0078 0.5039 0.7749 [9 per cell]
Se4 0.1724 0.3447 0.5585 [9 per cell]

Properties
As for the volume: 38.4 Å³/atom. As for the formation energy (no corrections): -1127 meV/atom.


[19]
This record from the Alexandria database describes crystalline Cs2U2CdSe6 at its relaxed geometry. The functional is PBE-GGA.

Cell lengths 7.1835, 12.5682, 8.9254 Å; angles 90.00, 104.89, 90.00 degrees
Space group C2/m (No. 12)
Unique sites:
Cs1 0.0000 0.1624 0.0000 [4 per cell]
U1 0.0000 0.3339 0.5000 [4 per cell]
Cd1 0.0000 0.0000 0.5000 [2 per cell]
Se1 0.2188 0.5000 0.6816 [4 per cell]
Se2 0.2303 0.1726 0.6833 [8 per cell]

Properties
As for the volume: 35.4 Å³/atom. As for the formation energy (no corrections): -1116 meV/atom.


[20]
This record from the Alexandria database describes crystalline Cs2UCdSe6 at its relaxed geometry. The functional is PBE-GGA.

Cell lengths 10.9771, 10.9771, 10.9771 Å; angles 90.00, 90.00, 90.00 degrees
Space group Fm-3m (No. 225)
Unique sites:
Cs1 0.2500 0.2500 0.2500 [8 per cell]
U1 0.0000 0.0000 0.0000 [4 per cell]
Cd1 0.0000 0.0000 0.5000 [4 per cell]
Se1 0.0000 0.0000 0.2432 [24 per cell]

Properties
As for the volume: 33.1 Å³/atom. As for the formation energy (no corrections): -819 meV/atom.